A geometry-optimized BaCr3B4O12 structure. Source: the Alexandria database, functional GGA+U.

```
BaCr3B4O12
1.0
4.857 2.804 2.637
-4.857 2.804 2.637
0.000 -5.609 2.637
Ba Cr B O
1 3 4 12
direct
0.000 0.000 0.000
0.000 0.556 0.444
0.444 0.000 0.556
0.556 0.444 0.000
0.060 0.500 0.940
0.500 0.500 0.500
0.500 0.940 0.060
0.940 0.060 0.500
0.023 0.603 0.768
0.085 0.915 0.500
0.232 0.397 0.977
0.356 0.644 0.500
0.397 0.977 0.232
0.500 0.085 0.915
0.500 0.356 0.644
0.603 0.768 0.023
0.644 0.500 0.356
0.768 0.023 0.603
0.915 0.500 0.085
0.977 0.232 0.397
```

For the calculated total energy, the calculation gives -7.76 eV/atom. The space-group type is R32. As for the volume: 10.77 Å³ per atom.